Entry 1:
A relaxed structure of Hf8CoSb2, computed with PBE.

Structure (extended XYZ):
```
11
Lattice="-1.801 2.890 -1.772 -6.623 -2.961 1.903 1.575 3.199 7.773" Properties=species:S:1:pos:R:3 pbc="T T T"
Hf -5.862 0.446 6.684
Hf -2.628 2.396 6.578
Hf -0.987 2.682 1.219
Co -0.900 1.445 -0.886
Hf -2.100 0.818 3.468
Hf -4.749 2.310 4.436
Hf -4.222 0.732 1.326
Hf -5.383 3.647 7.261
Sb -4.800 -0.583 3.927
Sb -2.050 3.711 3.977
Hf -1.466 -0.519 0.643
```

Summary:
The formation energy without anion corrections comes out at -0.23 eV per atom. The value obtained for the electronic total energy is -0.6517 Ry/atom.

Entry 2:
A relaxed structure of HfTh3Sc3, computed with PBE.

Structure (extended XYZ):
```
28
Lattice="9.256 0.000 0.000 0.000 9.256 0.000 0.000 0.000 9.256" Properties=species:S:1:pos:R:3 pbc="T T T"
Th 2.644 1.066 5.279
Th 8.190 0.650 1.984
Th 6.612 5.694 8.606
Th 1.984 8.190 0.650
Th 3.978 7.273 3.562
Sc 5.516 0.888 3.740
Th 1.066 5.279 2.644
Th 5.694 8.606 6.612
Sc 5.594 5.594 5.594
Sc 0.965 8.291 3.663
Sc 3.663 0.965 8.291
Sc 2.052 2.052 2.052
Th 5.279 2.644 1.066
Hf 8.473 0.783 5.411
Sc 6.680 2.576 7.204
Sc 8.291 3.663 0.965
Th 0.650 1.984 8.190
Sc 3.740 5.516 0.888
Hf 3.845 3.845 3.845
Sc 2.576 7.204 6.680
Hf 5.411 8.473 0.783
Sc 0.888 3.740 5.516
Sc 7.204 6.680 2.576
Hf 0.783 5.411 8.473
Th 8.606 6.612 5.694
Sc 8.369 8.369 8.369
Th 3.562 3.978 7.273
Th 7.273 3.562 3.978
```

Summary:
The value obtained for the formation energy is 2.22 eV per formula unit. The value obtained for the electronic total energy is -0.5144 Ry/atom.

Entry 3:
A relaxed structure of PmGdAlGe, computed with PBE.

Structure (extended XYZ):
```
4
Lattice="-4.027 1.432 2.919 -4.797 -1.407 -1.340 -2.542 -3.525 2.810" Properties=species:S:1:pos:R:3 pbc="T T T"
Pm 0.000 0.000 0.000
Ge -2.842 -0.875 1.097
Al -8.525 -2.626 3.292
Gd -5.683 -1.750 2.194
```

Summary:
The value obtained for the formation energy is -1.83 eV per formula unit. The value obtained for the electronic total energy is -0.5333 Ry/atom.

Entry 4:
A relaxed structure of NbTeSeI2, computed with PBE.

Structure (extended XYZ):
```
5
Lattice="-3.459 4.039 1.760 -4.402 -3.262 -1.165 0.183 -2.085 5.144" Properties=species:S:1:pos:R:3 pbc="T T T"
I -1.730 2.020 0.880
Nb -3.839 -0.654 2.869
Se 0.000 0.000 0.000
Te 0.092 -1.042 2.572
I -2.201 -1.631 -0.583
```

Summary:
The formation energy without anion corrections comes out at 1.00 eV per atom. Its distance to the lowest polymorph of the same formula is 0.656 eV/atom. The value obtained for the electronic total energy is -0.2173 Ry/atom.

Entry 5:
A relaxed structure of Y2MnPt, computed with PBE.

Structure (extended XYZ):
```
4
Lattice="4.240 0.000 0.000 0.000 3.999 0.015 0.000 1.977 5.389" Properties=species:S:1:pos:R:3 pbc="T T T"
Pt 2.120 3.732 4.139
Mn 0.000 3.738 2.649
Y 0.000 5.727 4.964
Y 2.120 1.742 1.759
```

Summary:
The value obtained for the formation energy is -2.15 eV per formula unit. The value obtained for the electronic total energy is -0.5565 Ry/atom.

Entry 6:
A relaxed structure of LiSc2Br, computed with PBE.

Structure (extended XYZ):
```
4
Lattice="-4.578 3.984 -2.079 -4.567 1.459 -4.263 -4.590 -1.333 1.516" Properties=species:S:1:pos:R:3 pbc="T T T"
Sc -4.787 -1.040 1.177
Sc -6.671 1.762 -2.073
Br -10.301 3.083 -3.619
Li -3.434 1.028 -1.206
```

Summary:
The formation energy without anion corrections comes out at -0.22 eV per atom. Its distance to the lowest polymorph of the same formula is 0.205 eV/atom. The value obtained for the electronic total energy is -0.3146 Ry/atom.

Entry 7:
A relaxed structure of ZrScCr2Ga, computed with PBE.

Structure (extended XYZ):
```
5
Lattice="-4.113 1.235 1.415 1.280 -1.256 4.818 1.503 4.207 0.698" Properties=species:S:1:pos:R:3 pbc="T T T"
Sc 0.640 -0.628 2.409
Zr 0.000 0.000 0.000
Cr 0.751 2.104 0.349
Cr -2.057 0.617 0.707
Ga -0.665 2.093 3.465
```

Summary:
The value obtained for the formation energy is 7.64 eV per formula unit. The value obtained for the electronic total energy is -0.4339 Ry/atom.

Entry 8:
A relaxed structure of MgZnAgOs2, computed with PBE.

Structure (extended XYZ):
```
5
Lattice="4.902 0.000 0.000 0.000 4.600 0.000 0.000 0.000 4.902" Properties=species:S:1:pos:R:3 pbc="T T T"
Zn 0.000 2.300 0.000
Os 2.451 0.000 0.000
Os 0.000 0.000 2.451
Ag 0.000 0.000 0.000
Mg 2.451 2.300 2.451
```

Summary:
The value obtained for the formation energy is 9.74 eV per formula unit. The value obtained for the electronic total energy is -0.2710 Ry/atom.